Entry 1:
First-principles (PBE-GGA) data for a relaxed structure of Dy4B3C5, as listed in Alexandria.

The structure in extended XYZ format:
```
12
Lattice="5.187 -1.815 0.000 5.187 1.815 0.000 -3.199 0.000 8.257" Properties=species:S:1:pos:R:3 pbc="T T T"
Dy -0.147 0.000 3.248
Dy -0.035 0.000 6.911
Dy 7.209 0.000 1.346
Dy 7.321 0.000 5.009
B 0.000 0.000 0.000
B 4.196 0.000 1.132
B 2.978 0.000 7.125
C 2.222 0.000 3.101
C 3.442 0.000 2.393
C 5.187 0.000 0.000
C 3.732 0.000 5.864
C 4.952 0.000 5.157
```

raw total energy	-7.04	eV/atom

=====

Entry 2:
First-principles (PBE-GGA) data for a relaxed structure of Dy2B4C, as listed in Alexandria.

The structure in extended XYZ format:
```
7
Lattice="-1.637 3.284 3.781 1.637 -3.284 3.781 1.637 3.284 -3.781" Properties=species:S:1:pos:R:3 pbc="T T T"
Dy 0.000 0.000 1.775
Dy 0.000 0.000 5.786
B 1.637 1.493 0.000
B 0.000 2.398 0.000
B 0.000 4.170 0.000
B 0.000 1.791 3.781
C 1.637 0.000 0.000
```

raw total energy	-7.02	eV/atom

=====

Entry 3:
First-principles (PBE-GGA) data for a relaxed structure of DyB12C3, as listed in Alexandria.

The structure in extended XYZ format:
```
32
Lattice="5.534 3.195 2.927 -5.534 3.195 2.927 0.000 -6.391 2.927" Properties=species:S:1:pos:R:3 pbc="T T T"
Dy 0.000 0.000 0.000
Dy 0.000 0.000 4.391
B -5.229 -0.439 4.616
B -2.234 -1.642 3.152
B -0.405 -3.898 3.243
B -3.173 2.300 3.243
B -3.938 1.544 4.656
B -2.361 -0.895 4.707
B -2.998 -2.453 6.434
B 0.632 -4.182 4.656
B -2.536 0.742 4.971
B -1.597 -1.652 6.119
B -0.305 2.756 3.152
B 0.625 -2.568 4.971
B 2.539 -1.114 3.152
B 2.995 -4.309 4.616
B 1.956 -1.597 4.707
B 0.405 2.493 4.707
B -0.632 2.209 6.119
B 3.579 1.598 3.243
B 1.911 1.825 4.971
B 2.229 -0.557 6.119
B -0.625 3.823 6.434
B 3.306 2.638 4.656
B 2.234 4.748 4.616
B 3.623 -1.370 6.434
C -1.757 -3.078 3.199
C -3.747 -0.135 4.662
C -1.788 3.061 3.199
C 1.990 -3.177 4.662
C 3.544 0.018 3.199
C 1.757 3.312 4.662
```

raw total energy	-6.50	eV/atom

=====

Entry 4:
First-principles (PBE-GGA) data for a relaxed structure of DyBC, as listed in Alexandria.

The structure in extended XYZ format:
```
3
Lattice="3.026 0.000 0.000 -1.513 2.621 0.000 0.000 0.000 4.036" Properties=species:S:1:pos:R:3 pbc="T T T"
Dy 0.000 0.000 0.000
B 1.513 0.874 2.018
C 0.000 1.747 2.018
```

excess energy over the best structure of this formula in the dataset	0.124	eV/atom
raw total energy	-7.16	eV/atom

=====

Entry 5:
First-principles (PBE-GGA) data for a relaxed structure of DyB2C, as listed in Alexandria.

The structure in extended XYZ format:
```
32
Lattice="6.796 0.000 0.000 0.000 6.796 0.000 0.000 0.000 7.476" Properties=species:S:1:pos:R:3 pbc="T T T"
Dy 1.297 2.101 1.869
Dy 1.297 2.101 5.607
Dy 2.101 5.498 1.869
Dy 2.101 5.498 5.607
Dy 4.695 1.297 1.869
Dy 4.695 1.297 5.607
Dy 5.498 4.695 1.869
Dy 5.498 4.695 5.607
B 0.235 5.764 0.000
B 0.644 4.056 0.000
B 0.659 4.041 3.738
B 1.032 0.235 3.738
B 2.366 3.633 3.738
B 2.739 0.644 3.738
B 2.754 0.659 0.000
B 3.163 2.366 0.000
B 3.633 4.430 0.000
B 4.041 6.137 0.000
B 4.056 6.152 3.738
B 4.430 3.163 3.738
B 5.764 6.561 3.738
B 6.137 2.754 3.738
B 6.152 2.739 0.000
B 6.561 1.032 0.000
C 0.276 5.589 3.738
C 1.206 0.276 0.000
C 2.192 3.673 0.000
C 3.122 2.192 3.738
C 3.673 4.604 3.738
C 4.604 3.122 0.000
C 5.589 6.520 0.000
C 6.520 1.206 3.738
```

raw total energy	-7.33	eV/atom

=====

Entry 6:
First-principles (PBE-GGA) data for a relaxed structure of Dy2B3C, as listed in Alexandria.

The structure in extended XYZ format:
```
6
Lattice="3.162 0.000 0.000 0.000 3.929 0.000 0.000 0.000 5.478" Properties=species:S:1:pos:R:3 pbc="T T T"
Dy 0.000 0.000 0.000
Dy 1.581 0.000 2.694
B 0.000 1.965 1.781
B 0.000 1.965 3.657
B 1.581 1.965 4.580
C 1.581 1.965 0.858
```

raw total energy	-6.87	eV/atom

=====

Entry 7:
First-principles (PBE-GGA) data for a relaxed structure of DyB2C2, as listed in Alexandria.

The structure in extended XYZ format:
```
5
Lattice="1.426 0.823 8.390 -1.426 0.823 8.390 0.000 -1.646 8.390" Properties=species:S:1:pos:R:3 pbc="T T T"
Dy 0.000 0.000 0.000
B 0.000 0.000 6.236
B 0.000 0.000 18.933
C 0.000 0.000 10.439
C 0.000 0.000 14.731
```

raw total energy	-7.19	eV/atom

=====

Entry 8:
First-principles (PBE-GGA) data for a relaxed structure of Dy2Mn2B2C, as listed in Alexandria.

The structure in extended XYZ format:
```
7
Lattice="5.117 -1.767 0.000 5.117 1.767 0.000 -3.718 0.000 5.262" Properties=species:S:1:pos:R:3 pbc="T T T"
Dy -0.494 0.000 1.682
Dy 7.010 0.000 3.580
Mn -0.363 0.000 4.807
Mn 6.879 0.000 0.455
B 2.275 0.000 1.317
B 4.241 0.000 3.945
C 5.117 0.000 0.000
```

raw total energy	-7.56	eV/atom

=====

Computed ΔE_f (meV/atom) in order:
4; -568; 529; -321; -533; -463; 92; -398